(1)
CsNa2CuAs: relaxed, PBE.

Summary:
Electronic total energy, eV per formula unit: -7.1
Crystal system: tetragonal

Cell lengths 6.0266, 6.0266, 5.2484 Å; angles 90.00, 90.00, 90.00 degrees
Sites, in units of the cell vectors:
Cs 0.0000 0.0000 0.0000
Na 0.0000 0.5000 0.0000
Na 0.5000 0.0000 0.0000
Cu 0.0000 0.0000 0.5000
As 0.5000 0.5000 0.5000

---

(2)
Mn4BeV5: relaxed, PBE.

Summary:
Electronic total energy, eV per formula unit: -88.2
Crystal system: tetragonal

Cell lengths 2.8811, 2.8811, 14.0102 Å; angles 90.00, 90.00, 90.00 degrees
Sites, in units of the cell vectors:
Mn 0.0000 0.0000 0.1026
Mn 0.0000 0.0000 0.3077
Mn 0.0000 0.0000 0.6923
Mn 0.0000 0.0000 0.8974
Be 0.0000 0.0000 0.5000
V 0.5000 0.5000 0.0000
V 0.5000 0.5000 0.2032
V 0.5000 0.5000 0.4047
V 0.5000 0.5000 0.5953
V 0.5000 0.5000 0.7968

---

(3)
CuSe2BrN: relaxed, PBE.

Summary:
Crystal system: tetragonal
ΔE_f (raw), eV per atom: 1.630

Cell lengths 5.3258, 5.3258, 3.6528 Å; angles 90.00, 90.00, 90.00 degrees
Sites, in units of the cell vectors:
Cu 0.0000 0.0000 0.0000
Se 0.0000 0.5000 0.5000
Se 0.5000 0.0000 0.5000
Br 0.5000 0.5000 0.5000
N 0.5000 0.5000 0.0000

---

(4)
Zr2FeSi3: relaxed, PBE.

Summary:
Crystal system: hexagonal
ΔE_f (raw), eV per atom: -0.659

Cell lengths 5.1337, 5.1337, 7.7680 Å; angles 90.00, 90.00, 120.00 degrees
Sites, in units of the cell vectors:
Zr 0.3333 0.6667 0.0631
Zr 0.3333 0.6667 0.4369
Zr 0.6667 0.3333 0.5631
Zr 0.6667 0.3333 0.9369
Fe 0.0000 0.0000 0.0000
Fe 0.0000 0.0000 0.5000
Si 0.1652 0.3303 0.7500
Si 0.1652 0.8348 0.7500
Si 0.3303 0.1652 0.2500
Si 0.6697 0.8348 0.7500
Si 0.8348 0.1652 0.2500
Si 0.8348 0.6697 0.2500

---

(5)
Dy4CdGaAu2: relaxed, PBE.

Summary:
Electronic total energy, eV per formula unit: -34.0
Crystal system: trigonal

Cell lengths 8.9213, 8.9213, 8.9213 Å; angles 33.45, 33.45, 33.45 degrees
Sites, in units of the cell vectors:
Dy 0.1214 0.1214 0.1214
Dy 0.3716 0.3716 0.3716
Dy 0.6284 0.6284 0.6284
Dy 0.8786 0.8786 0.8786
Cd 0.5000 0.5000 0.5000
Ga 0.0000 0.0000 0.0000
Au 0.2438 0.2438 0.2438
Au 0.7562 0.7562 0.7562

---

(6)
BaSc2As: relaxed, PBE.

Summary:
Electronic total energy, eV per formula unit: -19.5
Crystal system: tetragonal

Cell lengths 10.3916, 10.3916, 10.3916 Å; angles 150.11, 150.11, 42.79 degrees
Sites, in units of the cell vectors:
Ba 0.3750 0.6250 0.7500
Ba 0.6250 0.3750 0.2500
Sc 0.0000 0.0000 0.0000
Sc 0.0000 0.0000 0.5000
Sc 0.0000 0.5000 0.0000
Sc 0.5000 0.0000 0.5000
As 0.1250 0.8750 0.2500
As 0.8750 0.1250 0.7500

---

(7)
ZrScAsSe2: relaxed, PBE.

Summary:
Crystal system: tetragonal
ΔE_f (raw), eV per atom: -0.233

Cell lengths 4.9677, 4.9677, 5.1069 Å; angles 90.00, 90.00, 90.00 degrees
Sites, in units of the cell vectors:
Zr 0.0000 0.0000 0.0000
Sc 0.5000 0.5000 0.5000
As 0.5000 0.5000 0.0000
Se 0.0000 0.5000 0.5000
Se 0.5000 0.0000 0.5000

---

(8)
Th2MgSi3Ni4: relaxed, PBE.

Summary:
Crystal system: tetragonal
ΔE_f (raw), eV per atom: -0.716

Cell lengths 4.1044, 4.1044, 9.7553 Å; angles 90.00, 90.00, 90.00 degrees
Sites, in units of the cell vectors:
Th 0.0000 0.5000 0.2366
Th 0.5000 0.0000 0.7634
Mg 0.0000 0.0000 0.5000
Si 0.0000 0.5000 0.8773
Si 0.5000 0.0000 0.1227
Si 0.5000 0.5000 0.5000
Ni 0.0000 0.0000 0.0000
Ni 0.0000 0.5000 0.6396
Ni 0.5000 0.0000 0.3604
Ni 0.5000 0.5000 0.0000

---

| no. | N(E_F) (states/eV/cell) | size of the total moment (μB per formula unit) |
| --- | --- | --- |
| 1 | 2.531 | 0.19 |
| 2 | 4.958 | 0.00 |
| 3 | 5.208 | 0.00 |
| 4 | 8.968 | 0.02 |
| 5 | 5.077 | 0.00 |
| 6 | 9.475 | 1.94 |
| 7 | 2.549 | 0.00 |
| 8 | 6.424 | 0.00 |